[1]
# PBE-GGA TmPu2O7, optimized geometry
# - E_form (uncorrected): -2744 kJ/mol of formula units
# - Size of the total moment: 15.00 μB per cell
# - Calculated volume: 12.615 A^3/atom
# - D(E_F): 0.845 states/eV/atom
data_TmPu2O7
_chemical_formula_sum 'Tm3 Pu6 O21'
_cell_length_a 3.7993
_cell_length_b 3.7993
_cell_length_c 30.2742
_cell_angle_alpha 90.00
_cell_angle_beta 90.00
_cell_angle_gamma 120.00
_space_group_name_H-M_alt 'R -3 m'
_space_group_IT_number 166
_space_group_name_Hall '-R 3 2"'
loop_
_atom_site_label
_atom_site_type_symbol
_atom_site_fract_x
_atom_site_fract_y
_atom_site_fract_z
Tm1 Tm 0.0000 0.0000 0.0000
Pu1 Pu 0.0000 0.0000 0.4320
O1 O 0.0000 0.0000 0.0762
O2 O 0.0000 0.0000 0.2200
O3 O 0.0000 0.0000 0.3610
O4 O 0.0000 0.0000 0.5000

=====

[2]
# PBE-GGA Te2AsBr, optimized geometry
# - Energy above the most stable polymorph in this dataset: 8 meV per atom
# - E_form (uncorrected): -23 kJ/mol of formula units
# - Size of the total moment: 0.00 μB per cell
# - Calculated volume: 32.002 A^3/atom
# - D(E_F): 0.343 states/eV/atom
data_Te2AsBr
_chemical_formula_sum 'Te2 As1 Br1'
_cell_length_a 5.5080
_cell_length_b 4.1640
_cell_length_c 5.8242
_cell_angle_alpha 90.00
_cell_angle_beta 106.61
_cell_angle_gamma 90.00
_space_group_name_H-M_alt 'P 1 2/m 1'
_space_group_IT_number 10
loop_
_space_group_symop_operation_xyz
'x,y,z'
'-x,-y,-z'
'-x,y,-z'
'x,-y,z'
loop_
_atom_site_label
_atom_site_type_symbol
_atom_site_fract_x
_atom_site_fract_y
_atom_site_fract_z
Te1 Te 0.1701 0.0000 0.3673
As1 As 0.0000 0.5000 0.0000
Br1 Br 0.5000 0.5000 0.0000

=====

[3]
# PBE-GGA Sm2Dy8Ho3, optimized geometry
# - Size of the total moment: 0.00 μB per cell
# - Calculated volume: 33.293 A^3/atom
# - Energy of formation from the pure elements: 0.237 eV per atom
# - D(E_F): 1.717 states/eV/atom
data_Sm2Dy8Ho3
_chemical_formula_sum 'Sm2 Dy8 Ho3'
_cell_length_a 7.5952
_cell_length_b 5.5551
_cell_length_c 10.9326
_cell_angle_alpha 90.00
_cell_angle_beta 110.23
_cell_angle_gamma 90.00
_space_group_name_H-M_alt 'P 1 2/m 1'
_space_group_IT_number 10
loop_
_space_group_symop_operation_xyz
'x,y,z'
'-x,-y,-z'
'-x,y,-z'
'x,-y,z'
loop_
_atom_site_label
_atom_site_type_symbol
_atom_site_fract_x
_atom_site_fract_y
_atom_site_fract_z
Sm1 Sm 0.2411 0.0000 0.4821
Dy1 Dy 0.1297 0.5000 0.2603
Dy2 Dy 0.1815 0.0000 0.7866
Dy3 Dy 0.3373 0.5000 0.6729
Dy4 Dy 0.3943 0.0000 0.2135
Ho1 Ho 0.0000 0.0000 0.0000
Ho2 Ho 0.2857 0.5000 0.9999

=====

[4]
# PBE-GGA TaTl2Pb, optimized geometry
# - Energy above the most stable polymorph in this dataset: 96 meV per atom
# - Size of the total moment: 0.00 μB per cell
# - Calculated volume: 28.254 A^3/atom
# - Energy of formation from the pure elements: 0.488 eV per atom
# - D(E_F): 0.627 states/eV/atom
data_TaTl2Pb
_chemical_formula_sum 'Ta2 Tl4 Pb2'
_cell_length_a 3.0849
_cell_length_b 4.9867
_cell_length_c 14.6931
_cell_angle_alpha 90.00
_cell_angle_beta 90.00
_cell_angle_gamma 90.00
_space_group_name_H-M_alt 'I m m m'
_space_group_IT_number 71
_space_group_name_Hall '-I 2 2'
loop_
_atom_site_label
_atom_site_type_symbol
_atom_site_fract_x
_atom_site_fract_y
_atom_site_fract_z
Ta1 Ta 0.0000 0.0000 0.0000
Tl1 Tl 0.0000 0.5000 0.3138
Pb1 Pb 0.0000 0.0000 0.5000

=====

[5]
# PBE-GGA Mg3AlBi, optimized geometry
# - Energy above the most stable polymorph in this dataset: 0 meV per atom
# - Size of the total moment: 0.00 μB per cell
# - Calculated volume: 27.776 A^3/atom
# - Energy of formation from the pure elements: 0.306 eV per atom
# - D(E_F): 0.780 states/eV/atom
data_Mg3AlBi
_chemical_formula_sum 'Mg3 Al1 Bi1'
_cell_length_a 5.1786
_cell_length_b 5.1786
_cell_length_c 5.1786
_cell_angle_alpha 90.00
_cell_angle_beta 90.00
_cell_angle_gamma 90.00
_space_group_name_H-M_alt 'P m -3 m'
_space_group_IT_number 221
_space_group_name_Hall '-P 4 2 3'
loop_
_atom_site_label
_atom_site_type_symbol
_atom_site_fract_x
_atom_site_fract_y
_atom_site_fract_z
Mg1 Mg 0.0000 0.0000 0.5000
Al1 Al 0.0000 0.0000 0.0000
Bi1 Bi 0.5000 0.5000 0.5000

=====

[6]
# PBE-GGA CaInBr2, optimized geometry
# - Energy above the most stable polymorph in this dataset: 221 meV per atom
# - E_form (uncorrected): -408 kJ/mol of formula units
# - Size of the total moment: 0.83 μB per cell
# - Calculated volume: 36.378 A^3/atom
# - D(E_F): 0.361 states/eV/atom
data_CaInBr2
_chemical_formula_sum 'Ca1 In1 Br2'
_cell_length_a 5.9661
_cell_length_b 4.1591
_cell_length_c 6.0102
_cell_angle_alpha 90.00
_cell_angle_beta 102.65
_cell_angle_gamma 90.00
_space_group_name_H-M_alt 'P 1 2/m 1'
_space_group_IT_number 10
loop_
_space_group_symop_operation_xyz
'x,y,z'
'-x,-y,-z'
'-x,y,-z'
'x,-y,z'
loop_
_atom_site_label
_atom_site_type_symbol
_atom_site_fract_x
_atom_site_fract_y
_atom_site_fract_z
Ca1 Ca 0.0000 0.0000 0.0000
In1 In 0.5000 0.0000 0.5000
Br1 Br 0.2103 0.5000 0.7886

=====

[7]
# PBE-GGA Mn3Pd5Au, optimized geometry
# - Size of the total moment: 27.63 μB per cell
# - Calculated volume: 15.655 A^3/atom
# - Energy of formation from the pure elements: -0.183 eV per atom
# - D(E_F): 0.392 states/eV/atom
data_Mn3Pd5Au
_chemical_formula_sum 'Mn6 Pd10 Au2'
_cell_length_a 7.7159
_cell_length_b 7.7159
_cell_length_c 5.4654
_cell_angle_alpha 90.00
_cell_angle_beta 90.00
_cell_angle_gamma 120.00
_space_group_name_H-M_alt 'P 63/m c m'
_space_group_IT_number 193
_space_group_name_Hall '-P 6c 2'
loop_
_atom_site_label
_atom_site_type_symbol
_atom_site_fract_x
_atom_site_fract_y
_atom_site_fract_z
Mn1 Mn 0.0000 0.3443 0.2500
Pd1 Pd 0.0000 0.3284 0.7500
Pd2 Pd 0.3333 0.6667 0.0000
Au1 Au 0.0000 0.0000 0.0000

=====

[8]
# PBE-GGA DyTmSb2, optimized geometry
# - Energy above the most stable polymorph in this dataset: 73 meV per atom
# - E_form (uncorrected): -396 kJ/mol of formula units
# - Size of the total moment: 0.00 μB per cell
# - Calculated volume: 29.412 A^3/atom
# - D(E_F): 0.180 states/eV/atom
data_DyTmSb2
_chemical_formula_sum 'Dy2 Tm2 Sb4'
_cell_length_a 4.3450
_cell_length_b 4.3450
_cell_length_c 14.3915
_cell_angle_alpha 90.00
_cell_angle_beta 90.00
_cell_angle_gamma 120.00
_space_group_name_H-M_alt 'P 63/m m c'
_space_group_IT_number 194
_space_group_name_Hall '-P 6c 2c'
loop_
_atom_site_label
_atom_site_type_symbol
_atom_site_fract_x
_atom_site_fract_y
_atom_site_fract_z
Dy1 Dy 0.3333 0.6667 0.2500
Tm1 Tm 0.0000 0.0000 0.0000
Sb1 Sb 0.3333 0.6667 0.6211

=====

[9]
# PBE-GGA LiCuI2O, optimized geometry
# - Energy above the most stable polymorph in this dataset: 0 meV per atom
# - E_form (uncorrected): -160 kJ/mol of formula units
# - Size of the total moment: 1.03 μB per cell
# - Calculated volume: 24.677 A^3/atom
# - D(E_F): 0.526 states/eV/atom
data_LiCuI2O
_chemical_formula_sum 'Li1 Cu1 I2 O1'
_cell_length_a 5.8875
_cell_length_b 5.8875
_cell_length_c 3.5597
_cell_angle_alpha 90.00
_cell_angle_beta 90.00
_cell_angle_gamma 90.00
_space_group_name_H-M_alt 'P 4/m m m'
_space_group_IT_number 123
_space_group_name_Hall '-P 4 2'
loop_
_atom_site_label
_atom_site_type_symbol
_atom_site_fract_x
_atom_site_fract_y
_atom_site_fract_z
Li1 Li 0.0000 0.0000 0.0000
Cu1 Cu 0.5000 0.5000 0.5000
I1 I 0.0000 0.5000 0.5000
O1 O 0.5000 0.5000 0.0000

=====

[10]
# PBE-GGA SrSbP3, optimized geometry
# - Energy above the most stable polymorph in this dataset: 0 meV per atom
# - E_form (uncorrected): 141 kJ/mol of formula units
# - Size of the total moment: 0.00 μB per cell
# - Calculated volume: 26.733 A^3/atom
# - D(E_F): 1.065 states/eV/atom
data_SrSbP3
_chemical_formula_sum 'Sr1 Sb1 P3'
_cell_length_a 5.1130
_cell_length_b 5.1130
_cell_length_c 5.1130
_cell_angle_alpha 90.00
_cell_angle_beta 90.00
_cell_angle_gamma 90.00
_space_group_name_H-M_alt 'P m -3 m'
_space_group_IT_number 221
_space_group_name_Hall '-P 4 2 3'
loop_
_atom_site_label
_atom_site_type_symbol
_atom_site_fract_x
_atom_site_fract_y
_atom_site_fract_z
Sr1 Sr 0.0000 0.0000 0.0000
Sb1 Sb 0.5000 0.5000 0.5000
P1 P 0.0000 0.5000 0.5000

=====

[11]
# PBE-GGA Rb2LiCuTe2, optimized geometry
# - E_form (uncorrected): -446 kJ/mol of formula units
# - Size of the total moment: 0.00 μB per cell
# - Calculated volume: 31.433 A^3/atom
data_Rb2LiCuTe2
_chemical_formula_sum 'Rb8 Li4 Cu4 Te8'
_cell_length_a 6.8288
_cell_length_b 16.0842
_cell_length_c 6.8683
_cell_angle_alpha 90.00
_cell_angle_beta 90.00
_cell_angle_gamma 90.00
_space_group_name_H-M_alt 'I b a m'
_space_group_IT_number 72
_space_group_name_Hall '-I 2 2c'
loop_
_atom_site_label
_atom_site_type_symbol
_atom_site_fract_x
_atom_site_fract_y
_atom_site_fract_z
Rb1 Rb 0.2484 0.1661 0.0000
Li1 Li 0.0000 0.0000 0.2500
Cu1 Cu 0.0000 0.5000 0.2500
Te1 Te 0.2361 0.4105 0.0000

=====

[12]
# PBE-GGA KPm4Br8, optimized geometry
# - E_form (uncorrected): -2002 kJ/mol of formula units
# - Size of the total moment: 0.90 μB per cell
# - Calculated volume: 35.827 A^3/atom
# - D(E_F): 0.666 states/eV/atom
data_KPm4Br8
_chemical_formula_sum 'K3 Pm12 Br24'
_cell_length_a 7.7073
_cell_length_b 7.7073
_cell_length_c 27.1609
_cell_angle_alpha 90.00
_cell_angle_beta 90.00
_cell_angle_gamma 120.00
_space_group_name_H-M_alt 'R -3 m'
_space_group_IT_number 166
_space_group_name_Hall '-R 3 2"'
loop_
_atom_site_label
_atom_site_type_symbol
_atom_site_fract_x
_atom_site_fract_y
_atom_site_fract_z
K1 K 0.0000 0.0000 0.0000
Pm1 Pm 0.0000 0.0000 0.5000
Pm2 Pm 0.0000 0.5000 0.5000
Br1 Br 0.0000 0.0000 0.2402
Br2 Br 0.0015 0.5007 0.2415